# NiTeO2 (GGA+U, optimized geometry)
# D(E_F): 0.3585 states/eV per atom
# calculated volume: 185 Å³/cell
# total magnetic moment: 0.000 μB per cell
# calculated total energy: -48.258 eV per cell
data_NiTeO2
_chemical_formula_sum 'Ni3 Te3 O6'
_cell_length_a 3.7016
_cell_length_b 3.7016
_cell_length_c 15.6241
_cell_angle_alpha 90.00
_cell_angle_beta 90.00
_cell_angle_gamma 120.00
_symmetry_space_group_name_H-M 'R -3 m'
_symmetry_Int_Tables_number 166
_symmetry_space_group_name_Hall '-R 3 2"'
loop_
_atom_site_label
_atom_site_type_symbol
_atom_site_fract_x
_atom_site_fract_y
_atom_site_fract_z
Ni1 Ni 0.0000 0.0000 0.0000
Te1 Te 0.0000 0.0000 0.5000
O1 O 0.0000 0.0000 0.1162